# Te3As5Se12, optimized geometry, DFT PBE
# * crystal system: cubic
data_Te3As5Se12
_chemical_formula_sum 'Te24 As40 Se96'
_space_group_name_H-M_alt 'I a -3 d'
_space_group_IT_number 230
_space_group_name_Hall '-I 4bd 2c 3'
_cell_length_a 16.6016
_cell_length_b 16.6016
_cell_length_c 16.6016
_cell_angle_alpha 90.00
_cell_angle_beta 90.00
_cell_angle_gamma 90.00
loop_
_atom_site_label
_atom_site_fract_x
_atom_site_fract_y
_atom_site_fract_z
Te1 0.0000 0.2500 0.1250
As1 0.0000 0.0000 0.0000
As2 0.0000 0.2500 0.3750
Se1 0.0153 0.0530 0.6553

# YTlIr2, optimized geometry, DFT PBE
# * ΔH_f (0 K): 0.173 eV per atom
# * crystal system: trigonal
data_YTlIr2
_chemical_formula_sum 'Y3 Tl3 Ir6'
_space_group_name_H-M_alt 'R -3 m'
_space_group_IT_number 166
_space_group_name_Hall '-R 3 2"'
_cell_length_a 3.2494
_cell_length_b 3.2494
_cell_length_c 26.4418
_cell_angle_alpha 90.00
_cell_angle_beta 90.00
_cell_angle_gamma 120.00
loop_
_atom_site_label
_atom_site_fract_x
_atom_site_fract_y
_atom_site_fract_z
Y1 0.0000 0.0000 0.0000
Tl1 0.0000 0.0000 0.5000
Ir1 0.0000 0.0000 0.2518

# ScC2, optimized geometry, DFT PBE
# * ΔH_f (0 K): 0.236 eV per atom
# * crystal system: orthorhombic
data_ScC2
_chemical_formula_sum 'Sc4 C8'
_space_group_name_H-M_alt 'F m m m'
_space_group_IT_number 69
_space_group_name_Hall '-F 2 2'
_cell_length_a 2.6781
_cell_length_b 6.8110
_cell_length_c 8.4489
_cell_angle_alpha 90.00
_cell_angle_beta 90.00
_cell_angle_gamma 90.00
loop_
_atom_site_label
_atom_site_fract_x
_atom_site_fract_y
_atom_site_fract_z
Sc1 0.0000 0.0000 0.0000
C1 0.0000 0.0000 0.2846

# Pu2PtRh, optimized geometry, DFT PBE
# * ΔH_f (0 K): -0.576 eV per atom
# * crystal system: tetragonal
data_Pu2PtRh
_chemical_formula_sum 'Pu2 Pt1 Rh1'
_space_group_name_H-M_alt 'P 4/m m m'
_space_group_IT_number 123
_space_group_name_Hall '-P 4 2'
_cell_length_a 4.9134
_cell_length_b 4.9134
_cell_length_c 3.4557
_cell_angle_alpha 90.00
_cell_angle_beta 90.00
_cell_angle_gamma 90.00
loop_
_atom_site_label
_atom_site_fract_x
_atom_site_fract_y
_atom_site_fract_z
Pu1 0.0000 0.5000 0.0000
Pt1 0.0000 0.0000 0.5000
Rh1 0.5000 0.5000 0.5000

# RbYCo2Pt, optimized geometry, DFT PBE
# * ΔH_f (0 K): 1.086 eV per atom
# * crystal system: tetragonal
data_RbYCo2Pt
_chemical_formula_sum 'Rb1 Y1 Co2 Pt1'
_space_group_name_H-M_alt 'P 4/m m m'
_space_group_IT_number 123
_space_group_name_Hall '-P 4 2'
_cell_length_a 5.2184
_cell_length_b 5.2184
_cell_length_c 5.3453
_cell_angle_alpha 90.00
_cell_angle_beta 90.00
_cell_angle_gamma 90.00
loop_
_atom_site_label
_atom_site_fract_x
_atom_site_fract_y
_atom_site_fract_z
Rb1 0.0000 0.0000 0.0000
Y1 0.5000 0.5000 0.5000
Co1 0.0000 0.5000 0.5000
Pt1 0.5000 0.5000 0.0000

# Na2YPuO6, optimized geometry, DFT PBE
# * crystal system: trigonal
data_Na2YPuO6
_chemical_formula_sum 'Na6 Y3 Pu3 O18'
_space_group_name_H-M_alt 'R 3'
_space_group_IT_number 146
_space_group_name_Hall 'R 3'
_cell_length_a 5.8114
_cell_length_b 5.8114
_cell_length_c 14.6307
_cell_angle_alpha 90.00
_cell_angle_beta 90.00
_cell_angle_gamma 120.00
loop_
_atom_site_label
_atom_site_fract_x
_atom_site_fract_y
_atom_site_fract_z
Na1 0.0000 0.0000 0.0000
Na2 0.0000 0.0000 0.4999
Y1 0.0000 0.0000 0.2351
Pu1 0.0000 0.0000 0.7329
O1 0.0175 0.4171 0.4764
O2 0.0870 0.7264 0.3183

# NaCa2Rh2, optimized geometry, DFT PBE
# * ΔH_f (0 K): 0.091 eV per atom
# * crystal system: tetragonal
data_NaCa2Rh2
_chemical_formula_sum 'Na2 Ca4 Rh4'
_space_group_name_H-M_alt 'I 4/m m m'
_space_group_IT_number 139
_space_group_name_Hall '-I 4 2'
_cell_length_a 5.4035
_cell_length_b 5.4035
_cell_length_c 8.6691
_cell_angle_alpha 90.00
_cell_angle_beta 90.00
_cell_angle_gamma 90.00
loop_
_atom_site_label
_atom_site_fract_x
_atom_site_fract_y
_atom_site_fract_z
Na1 0.0000 0.0000 0.0000
Ca1 0.0000 0.5000 0.2500
Rh1 0.0000 0.0000 0.3545

# Hf2SbP2, optimized geometry, DFT PBE
# * crystal system: tetragonal
data_Hf2SbP2
_chemical_formula_sum 'Hf4 Sb2 P4'
_space_group_name_H-M_alt 'I 4/m m m'
_space_group_IT_number 139
_space_group_name_Hall '-I 4 2'
_cell_length_a 3.7046
_cell_length_b 3.7046
_cell_length_c 13.9363
_cell_angle_alpha 90.00
_cell_angle_beta 90.00
_cell_angle_gamma 90.00
loop_
_atom_site_label
_atom_site_fract_x
_atom_site_fract_y
_atom_site_fract_z
Hf1 0.0000 0.0000 0.1144
Sb1 0.0000 0.0000 0.5000
P1 0.0000 0.5000 0.2500

# PrEuTl, optimized geometry, DFT PBE
# * ΔH_f (0 K): -0.188 eV per atom
# * crystal system: trigonal
data_PrEuTl
_chemical_formula_sum 'Pr1 Eu1 Tl1'
_space_group_name_H-M_alt 'P 3 m 1'
_space_group_IT_number 156
_space_group_name_Hall 'P 3 -2"'
_cell_length_a 5.4578
_cell_length_b 5.4578
_cell_length_c 3.8158
_cell_angle_alpha 90.00
_cell_angle_beta 90.00
_cell_angle_gamma 120.00
loop_
_atom_site_label
_atom_site_fract_x
_atom_site_fract_y
_atom_site_fract_z
Pr1 0.0000 0.0000 0.0000
Eu1 0.3333 0.6667 0.5807
Tl1 0.6667 0.3333 0.2428

# OsWBr, optimized geometry, DFT PBE
# * crystal system: cubic
data_OsWBr
_chemical_formula_sum 'Os4 W4 Br4'
_space_group_name_H-M_alt 'F -4 3 m'
_space_group_IT_number 216
_space_group_name_Hall 'F -4 2 3'
_cell_length_a 6.1252
_cell_length_b 6.1252
_cell_length_c 6.1252
_cell_angle_alpha 90.00
_cell_angle_beta 90.00
_cell_angle_gamma 90.00
loop_
_atom_site_label
_atom_site_fract_x
_atom_site_fract_y
_atom_site_fract_z
Os1 0.0000 0.0000 0.0000
W1 0.2500 0.2500 0.7500
Br1 0.0000 0.0000 0.5000

# K2BaMn, optimized geometry, DFT PBE
# * ΔH_f (0 K): 0.543 eV per atom
# * crystal system: trigonal
data_K2BaMn
_chemical_formula_sum 'K6 Ba3 Mn3'
_space_group_name_H-M_alt 'R 3 m'
_space_group_IT_number 160
_space_group_name_Hall 'R 3 -2"'
_cell_length_a 4.3457
_cell_length_b 4.3457
_cell_length_c 38.7173
_cell_angle_alpha 90.00
_cell_angle_beta 90.00
_cell_angle_gamma 120.00
loop_
_atom_site_label
_atom_site_fract_x
_atom_site_fract_y
_atom_site_fract_z
K1 0.0000 0.0000 0.0000
K2 0.0000 0.0000 0.2274
Ba1 0.0000 0.0000 0.7697
Mn1 0.0000 0.0000 0.4953

# YAl11Pd, optimized geometry, DFT PBE
# * ΔH_f (0 K): -0.228 eV per atom
# * crystal system: monoclinic
data_YAl11Pd
_chemical_formula_sum 'Y2 Al22 Pd2'
_space_group_name_H-M_alt 'C 1 2/m 1'
_space_group_IT_number 12
_space_group_name_Hall '-C 2y'
_cell_length_a 5.2264
_cell_length_b 12.6645
_cell_length_c 7.2190
_cell_angle_alpha 90.00
_cell_angle_beta 108.78
_cell_angle_gamma 90.00
loop_
_atom_site_label
_atom_site_fract_x
_atom_site_fract_y
_atom_site_fract_z
Y1 0.0000 0.0000 0.0000
Al1 0.0000 0.0000 0.5000
Al2 0.1070 0.3917 0.2221
Al3 0.1701 0.1768 0.3549
Al4 0.2500 0.2500 0.0000
Pd1 0.0000 0.5000 0.5000

Number 1: calculated total energy -568.71 eV for the cell shown. Number 2: calculated total energy -77.58 eV for the cell shown. Number 3: calculated total energy -96.29 eV for the cell shown. Number 4: calculated total energy -44.36 eV for the cell shown. Number 5: calculated total energy -22.26 eV for the cell shown. Number 6: calculated total energy -234.75 eV for the cell shown. Number 7: calculated total energy -39.14 eV for the cell shown. Number 8: calculated total energy -76.38 eV for the cell shown. Number 9: calculated total energy -17.99 eV for the cell shown. Number 10: calculated total energy -88.59 eV for the cell shown. Number 11: calculated total energy -33.34 eV for the cell shown. Number 12: calculated total energy -111.57 eV for the cell shown.